# 1
Material: TeMoCl3
Method: DFT, PBE
State: optimized geometry

POSCAR file:
```
TeMoCl3
1.0
5.4512 0.0000 0.0000
0.0000 5.4512 0.0000
0.0000 0.0000 5.4512
Te Mo Cl
1 1 3
direct
0.0000 0.0000 0.0000
0.5000 0.5000 0.5000
0.0000 0.0000 0.5000
0.0000 0.5000 0.0000
0.5000 0.0000 0.0000
```

Output
As for the mass density: 3.382 g/cm³. The calculation puts the raw formation energy at 0.658 eV per atom. The calculation puts the energy above the most stable polymorph in this dataset at 0.527 eV per atom. The size of the total moment comes out at 5.15 μB/cell.

***

# 2
Material: NiSbP
Method: DFT, PBE
State: optimized geometry

POSCAR file:
```
NiSbP
1.0
5.8880 0.0000 0.0000
0.0000 5.8880 0.0000
0.0000 0.0000 5.8880
Ni Sb P
4 4 4
direct
0.0245 0.4755 0.5245
0.4755 0.5245 0.0245
0.5245 0.0245 0.4755
0.9755 0.9755 0.9755
0.1260 0.8740 0.3740
0.3740 0.1260 0.8740
0.6260 0.6260 0.6260
0.8740 0.3740 0.1260
0.1260 0.6260 0.8740
0.3740 0.3740 0.3740
0.6260 0.8740 0.1260
0.8740 0.1260 0.6260
```

Output
As for the mass density: 6.880 g/cm³. The calculation puts the raw formation energy at -0.234 eV per atom. The calculation puts the energy above the most stable polymorph in this dataset at 0.000 eV per atom. The size of the total moment comes out at 0.00 μB/cell.

***

# 3
Material: Dy3Sb4
Method: DFT, PBE
State: optimized geometry

POSCAR file:
```
Dy3Sb4
1.0
2.2514 1.2999 11.9356
-2.2514 1.2999 11.9356
0.0000 -2.5997 11.9356
Dy Sb
3 4
direct
0.0000 0.0000 0.0000
0.2387 0.2387 0.2387
0.7613 0.7613 0.7613
0.1466 0.1466 0.1466
0.3815 0.3815 0.3815
0.6185 0.6185 0.6185
0.8534 0.8534 0.8534
```

Output
As for the mass density: 7.721 g/cm³. The calculation puts the raw formation energy at -0.770 eV per atom. The size of the total moment comes out at 0.00 μB/cell.

***

# 4
Material: RbNaSr2Hg
Method: DFT, PBE
State: optimized geometry

POSCAR file:
```
RbNaSr2Hg
1.0
6.3854 0.0000 0.0000
0.0000 6.3854 0.0000
0.0000 0.0000 6.8582
Rb Na Sr Hg
1 1 2 1
direct
0.0000 0.0000 0.0000
0.5000 0.5000 0.0000
0.0000 0.5000 0.5000
0.5000 0.0000 0.5000
0.0000 0.0000 0.5000
```

Output
As for the mass density: 2.876 g/cm³. For the formation enthalpy at 0 K, the calculation gives -0.05 eV/atom. The calculation puts the energy above the most stable polymorph in this dataset at 0.043 eV per atom. The size of the total moment comes out at 0.00 μB/cell.

***

# 5
Material: TmAuSe2
Method: DFT, PBE
State: optimized geometry

POSCAR file:
```
TmAuSe2
1.0
4.2233 0.0000 0.0000
-2.1117 3.6575 0.0000
0.0000 0.0000 23.3426
Tm Au Se
3 3 6
direct
0.0000 0.6709 0.3333
0.3291 0.3291 0.0000
0.6709 0.0000 0.6667
0.0000 0.6646 0.8333
0.3354 0.3354 0.5000
0.6646 0.0000 0.1667
0.0042 0.6667 0.7292
0.3333 0.3375 0.3958
0.3375 0.3333 0.6042
0.6625 0.9958 0.0625
0.6667 0.0042 0.2708
0.9958 0.6625 0.9375
```

Output
As for the mass density: 7.237 g/cm³. The calculation puts the raw formation energy at -1.124 eV per atom. The size of the total moment comes out at 0.00 μB/cell.

***

# 6
Material: Mg6AlS8
Method: DFT, PBE
State: optimized geometry

POSCAR file:
```
Mg6AlS8
1.0
0.0000 5.1894 5.1894
5.1894 0.0000 5.1894
5.1894 5.1894 0.0000
Mg Al S
6 1 8
direct
0.0000 0.0000 0.5000
0.0000 0.5000 0.0000
0.0000 0.5000 0.5000
0.5000 0.0000 0.0000
0.5000 0.0000 0.5000
0.5000 0.5000 0.0000
0.0000 0.0000 0.0000
0.2360 0.2360 0.7640
0.2360 0.7640 0.2360
0.2360 0.7640 0.7640
0.2500 0.2500 0.2500
0.7500 0.7500 0.7500
0.7640 0.2360 0.2360
0.7640 0.2360 0.7640
0.7640 0.7640 0.2360
```

Output
As for the mass density: 2.551 g/cm³. The calculation puts the raw formation energy at -1.256 eV per atom. The size of the total moment comes out at 0.00 μB/cell.

***

# 7
Material: NbAlZn2
Method: DFT, PBE
State: optimized geometry

POSCAR file:
```
NbAlZn2
1.0
2.0394 1.1775 4.4929
-2.0394 1.1775 4.4929
0.0000 -2.3549 4.4929
Nb Al Zn
1 1 2
direct
0.0000 0.0000 0.0000
0.5000 0.5000 0.5000
0.2266 0.2266 0.2266
0.7734 0.7734 0.7734
```

Output
As for the mass density: 6.431 g/cm³. For the formation enthalpy at 0 K, the calculation gives 0.14 eV/atom. The size of the total moment comes out at 0.00 μB/cell.

***

# 8
Material: TmHfZnCo
Method: DFT, PBE
State: optimized geometry

POSCAR file:
```
TmHfZnCo
1.0
0.0000 3.3100 3.3100
3.3100 0.0000 3.3100
3.3100 3.3100 0.0000
Tm Hf Zn Co
1 1 1 1
direct
0.0000 0.0000 0.0000
0.5000 0.5000 0.5000
0.2500 0.2500 0.2500
0.7500 0.7500 0.7500
```

Output
As for the mass density: 10.801 g/cm³. For the formation enthalpy at 0 K, the calculation gives -0.20 eV/atom. The size of the total moment comes out at 0.29 μB/cell.

***

# 9
Material: TbNd4Sm7
Method: DFT, PBE
State: optimized geometry

POSCAR file:
```
TbNd4Sm7
1.0
6.0887 -3.0291 0.0000
6.0887 3.0291 0.0000
-6.0256 0.0000 11.4499
Tb Nd Sm
1 4 7
direct
0.0000 0.0000 0.0000
0.1370 0.1370 0.7776
0.4409 0.4409 0.6722
0.5591 0.5591 0.3278
0.8630 0.8630 0.2224
0.1328 0.1328 0.5020
0.2503 0.2503 0.3164
0.2892 0.2892 0.0775
0.5000 0.5000 0.0000
0.7108 0.7108 0.9225
0.7497 0.7497 0.6836
0.8672 0.8672 0.4980
```

Output
As for the mass density: 7.032 g/cm³. For the formation enthalpy at 0 K, the calculation gives 0.25 eV/atom. The calculation puts the energy above the most stable polymorph in this dataset at 0.233 eV per atom. The size of the total moment comes out at 0.00 μB/cell.

***

# 10
Material: BaMoN2
Method: DFT, PBE
State: optimized geometry

POSCAR file:
```
BaMoN2
1.0
0.0000 3.0407 3.0407
3.0407 0.0000 3.0407
3.0407 3.0407 0.0000
Ba Mo N
1 1 2
direct
0.0000 0.0000 0.0000
0.5000 0.5000 0.5000
0.2500 0.2500 0.2500
0.7500 0.7500 0.7500
```

Output
As for the mass density: 7.716 g/cm³. The calculation puts the raw formation energy at 1.139 eV per atom. The size of the total moment comes out at 0.00 μB/cell.

***

# 11
Material: K2Np2PaSe6
Method: DFT, PBE
State: optimized geometry

POSCAR file:
```
K2Np2PaSe6
1.0
3.6378 -6.2812 0.0000
3.6378 6.2812 0.0000
-2.4441 0.0000 7.8616
K Np Pa Se
2 2 1 6
direct
0.1685 0.8315 0.0000
0.8315 0.1685 0.0000
0.3339 0.6661 0.5000
0.6661 0.3339 0.5000
0.0000 0.0000 0.5000
0.0674 0.3950 0.7020
0.2579 0.2579 0.2977
0.3950 0.0674 0.7020
0.6050 0.9326 0.2980
0.7421 0.7421 0.7023
0.9326 0.6050 0.2980
```

Output
As for the mass density: 5.810 g/cm³. The calculation puts the raw formation energy at -1.305 eV per atom. The size of the total moment comes out at 9.00 μB/cell.

***

# 12
Material: TaZn3As
Method: DFT, PBE
State: optimized geometry

POSCAR file:
```
TaZn3As
1.0
4.6929 0.0000 0.0000
0.0000 4.6929 0.0000
0.0000 0.0000 4.6929
Ta Zn As
1 3 1
direct
0.0000 0.0000 0.0000
0.0000 0.5000 0.5000
0.5000 0.0000 0.5000
0.5000 0.5000 0.0000
0.5000 0.5000 0.5000
```

Output
As for the mass density: 7.264 g/cm³. For the formation enthalpy at 0 K, the calculation gives 1.13 eV/atom. The calculation puts the energy above the most stable polymorph in this dataset at 0.000 eV per atom. The size of the total moment comes out at 1.44 μB/cell.

***

# 13
Material: Er2ThHg
Method: DFT, PBE
State: optimized geometry

POSCAR file:
```
Er2ThHg
1.0
4.8407 0.0000 0.0000
0.0000 4.8407 0.0000
0.0000 0.0000 4.7894
Er Th Hg
2 1 1
direct
0.0000 0.5000 0.0000
0.5000 0.0000 0.0000
0.0000 0.0000 0.5000
0.5000 0.5000 0.5000
```

Output
As for the mass density: 11.351 g/cm³. For the formation enthalpy at 0 K, the calculation gives -0.09 eV/atom. The calculation puts the energy above the most stable polymorph in this dataset at 0.162 eV per atom. The size of the total moment comes out at 0.00 μB/cell.

***

# 14
Material: MoHRuW2
Method: DFT, PBE
State: optimized geometry

POSCAR file:
```
MoHRuW2
1.0
4.0448 0.0000 0.0000
0.0000 4.0448 0.0000
0.0000 0.0000 3.9321
Mo H Ru W
1 1 1 2
direct
0.0000 0.0000 0.0000
0.5000 0.5000 0.5000
0.5000 0.5000 0.0000
0.0000 0.5000 0.5000
0.5000 0.0000 0.5000
```

Output
As for the mass density: 14.602 g/cm³. The calculation puts the energy above the most stable polymorph in this dataset at 0.000 eV per atom. The size of the total moment comes out at 0.00 μB/cell.

***

# 15
Material: CeGaPtRh
Method: DFT, PBE
State: optimized geometry

POSCAR file:
```
CeGaPtRh
1.0
0.0000 3.3369 3.3369
3.3369 0.0000 3.3369
3.3369 3.3369 0.0000
Ce Ga Pt Rh
1 1 1 1
direct
0.0000 0.0000 0.0000
0.5000 0.5000 0.5000
0.7500 0.7500 0.7500
0.2500 0.2500 0.2500
```

Output
As for the mass density: 11.348 g/cm³. For the formation enthalpy at 0 K, the calculation gives -0.73 eV/atom. The size of the total moment comes out at 0.00 μB/cell.

***

# 16
Material: LiCaNiH4
Method: DFT, PBE
State: optimized geometry

POSCAR file:
```
LiCaNiH4
1.0
2.3695 -6.0404 0.0000
2.3695 6.0404 0.0000
0.0000 0.0000 4.7864
Li Ca Ni H
2 2 2 8
direct
0.1344 0.8656 0.7500
0.8656 0.1344 0.2500
0.3919 0.6081 0.7500
0.6081 0.3919 0.2500
0.2500 0.7500 0.2500
0.7500 0.2500 0.7500
0.0000 0.5000 0.0000
0.0000 0.5000 0.5000
0.1107 0.8893 0.2500
0.3982 0.6018 0.2500
0.5000 0.0000 0.0000
0.5000 0.0000 0.5000
0.6018 0.3982 0.7500
0.8893 0.1107 0.7500
```

Output
As for the mass density: 2.660 g/cm³. Its raw total energy is -0.1348 hartree per atom. The size of the total moment comes out at 0.00 μB/cell.

***

# 17
Material: PmO4
Method: DFT, PBE
State: optimized geometry

POSCAR file:
```
PmO4
1.0
4.6166 0.0000 0.0000
0.0000 4.6166 0.0000
0.0000 0.0000 4.6166
Pm O
1 4
direct
0.0000 0.0000 0.0000
0.0000 0.0000 0.5000
0.0000 0.5000 0.0000
0.5000 0.0000 0.0000
0.5000 0.5000 0.5000
```

Output
As for the mass density: 3.527 g/cm³. The calculation puts the raw formation energy at -0.337 eV per atom. The size of the total moment comes out at 5.00 μB/cell.

***

# 18
Material: Sm2CuRh3
Method: DFT, PBE
State: optimized geometry

POSCAR file:
```
Sm2CuRh3
1.0
2.7497 1.5875 4.1599
-2.7497 1.5875 4.1599
0.0000 -3.1751 4.1599
Sm Cu Rh
2 1 3
direct
0.1274 0.1274 0.1274
0.8726 0.8726 0.8726
0.5000 0.5000 0.5000
0.0000 0.5000 0.5000
0.5000 0.0000 0.5000
0.5000 0.5000 0.0000
```

Output
As for the mass density: 10.257 g/cm³. For the formation enthalpy at 0 K, the calculation gives -0.60 eV/atom. The size of the total moment comes out at 0.00 μB/cell.

***

# 19
Material: KPm2Pr
Method: DFT, PBE
State: optimized geometry

POSCAR file:
```
KPm2Pr
1.0
1.8432 1.0641 13.5292
-1.8432 1.0641 13.5292
0.0000 -2.1283 13.5292
K Pm Pr
1 2 1
direct
0.0000 0.0000 0.0000
0.0943 0.0943 0.0943
0.9057 0.9057 0.9057
0.5000 0.5000 0.5000
```

Output
As for the mass density: 4.902 g/cm³. For the formation enthalpy at 0 K, the calculation gives 0.21 eV/atom. The size of the total moment comes out at 0.00 μB/cell.

***

# 20
Material: VCrB
Method: DFT, PBE
State: optimized geometry

POSCAR file:
```
VCrB
1.0
1.4892 -6.8225 0.0000
1.4892 6.8225 0.0000
0.0000 0.0000 2.9373
V Cr B
2 2 2
direct
0.0892 0.9108 0.7500
0.9108 0.0892 0.2500
0.2979 0.7021 0.7500
0.7021 0.2979 0.2500
0.4639 0.5361 0.7500
0.5361 0.4639 0.2500
```

Output
As for the mass density: 6.329 g/cm³. For the formation enthalpy at 0 K, the calculation gives -0.54 eV/atom. The calculation puts the energy above the most stable polymorph in this dataset at 0.000 eV per atom. The size of the total moment comes out at 0.00 μB/cell.